[1]
{
  "formula": "Ag7Te",
  "functional": "PBE",
  "state": "optimized geometry",
  "lattice_angstrom": [[2.908, 0.000, 0.000], [0.000, 4.015, 0.000], [0.000, 0.000, 34.711]],
  "species": ["Ag", "Ag", "Ag", "Ag", "Ag", "Ag", "Ag", "Ag", "Ag", "Ag", "Ag", "Ag", "Ag", "Ag", "Te", "Te"],
  "frac_coords": [[0.250, 0.250, 0.022], [0.250, 0.250, 0.108], [0.250, 0.250, 0.194], [0.250, 0.250, 0.281], [0.250, 0.250, 0.763], [0.250, 0.250, 0.850], [0.250, 0.250, 0.936], [0.750, 0.750, 0.064], [0.750, 0.750, 0.150], [0.750, 0.750, 0.237], [0.750, 0.750, 0.719], [0.750, 0.750, 0.806], [0.750, 0.750, 0.892], [0.750, 0.750, 0.978], [0.250, 0.250, 0.668], [0.750, 0.750, 0.332]],
  "de_polymorph_ev_per_atom": 0.000,
  "sg": "No. 59"
}


[2]
{
  "formula": "Ag9Te",
  "functional": "PBE",
  "state": "optimized geometry",
  "lattice_angstrom": [[2.955, 0.000, 0.000], [0.000, 3.990, 0.000], [0.000, 0.000, 39.795]],
  "species": ["Ag", "Ag", "Ag", "Ag", "Ag", "Ag", "Ag", "Ag", "Ag", "Ag", "Ag", "Ag", "Ag", "Ag", "Ag", "Ag", "Ag", "Ag", "Te", "Te"],
  "frac_coords": [[0.250, 0.250, 0.019], [0.250, 0.250, 0.094], [0.250, 0.250, 0.169], [0.250, 0.250, 0.245], [0.250, 0.250, 0.321], [0.250, 0.250, 0.718], [0.250, 0.250, 0.794], [0.250, 0.250, 0.869], [0.250, 0.250, 0.944], [0.750, 0.750, 0.056], [0.750, 0.750, 0.131], [0.750, 0.750, 0.206], [0.750, 0.750, 0.282], [0.750, 0.750, 0.679], [0.750, 0.750, 0.755], [0.750, 0.750, 0.831], [0.750, 0.750, 0.906], [0.750, 0.750, 0.981], [0.250, 0.250, 0.634], [0.750, 0.750, 0.366]],
  "de_polymorph_ev_per_atom": 0.000,
  "sg": "No. 59"
}